[1]
A crystal of CaFe2IrPd relaxed with PBEsol, computed with meta-GGA SCAN.

Computed properties:
density	8.63	g cm⁻³
E_form	2.103	eV/atom
N(E_F)	0.85	states/eV per atom
E_tot	-139.283	eV/f.u.

Cell: 4.313 4.313 4.660 Å, 90.00 90.00 90.00°
Atoms (fractional coordinates):
Ca (0.000, 0.000, 0.000)
Fe (0.000, 0.500, 0.000)
Fe (0.500, 0.000, 0.000)
Ir (0.000, 0.000, 0.500)
Pd (0.500, 0.500, 0.500)

[2]
A crystal of CaFeIrS2 relaxed with PBEsol, computed with meta-GGA SCAN.

Computed properties:
density	4.96	g cm⁻³
N(E_F)	1.26	states/eV per atom
E_tot	-111.269	eV/f.u.

Cell: 4.916 4.916 4.883 Å, 90.00 90.00 90.00°
Atoms (fractional coordinates):
Ca (0.000, 0.000, 0.000)
Fe (0.500, 0.500, 0.500)
Ir (0.000, 0.000, 0.500)
S (0.000, 0.500, 0.000)
S (0.500, 0.000, 0.000)

[3]
A crystal of KCaFe2 relaxed with PBEsol, computed with meta-GGA SCAN.

Computed properties:
E above lowest polymorph	0	meV/atom
density	3.34	g cm⁻³
E_form	0.548	eV/atom
N(E_F)	0.65	states/eV per atom
E_tot	-52.059	eV/f.u.

Cell: 3.220 3.220 9.166 Å, 90.00 90.00 90.00°
Atoms (fractional coordinates):
K (0.000, 0.000, 0.000)
Ca (0.500, 0.500, 0.415)
Fe (0.000, 0.000, 0.639)
Fe (0.500, 0.500, 0.718)

[4]
A crystal of K4CaFe relaxed with PBEsol, computed with meta-GGA SCAN.

Computed properties:
density	1.42	g cm⁻³
E_form	0.808	eV/atom
N(E_F)	1.60	states/eV per atom
E_tot	-56.261	eV/f.u.

Cell: 7.473 7.473 7.473 Å, 60.00 60.00 60.00°
Atoms (fractional coordinates):
K (0.124, 0.124, 0.124)
K (0.124, 0.124, 0.627)
K (0.124, 0.627, 0.124)
K (0.627, 0.124, 0.124)
Ca (0.500, 0.500, 0.500)
Fe (0.750, 0.750, 0.750)

[5]
A crystal of KCaFe2 relaxed with PBEsol, computed with meta-GGA SCAN.

Computed properties:
E above lowest polymorph	622	meV/atom
density	3.90	g cm⁻³
E_form	1.170	eV/atom
N(E_F)	0.79	states/eV per atom
E_tot	-49.571	eV/f.u.

Cell: 4.151 4.151 4.716 Å, 90.00 90.00 90.00°
Atoms (fractional coordinates):
K (0.000, 0.000, 0.000)
Ca (0.500, 0.500, 0.000)
Fe (0.000, 0.500, 0.500)
Fe (0.500, 0.000, 0.500)

[6]
A crystal of KCa2FeO relaxed with PBEsol, computed with meta-GGA SCAN.

Computed properties:
density	2.74	g cm⁻³
N(E_F)	1.45	states/eV per atom
E_tot	-55.153	eV/f.u.

Cell: 4.675 4.675 5.295 Å, 90.00 90.00 90.00°
Atoms (fractional coordinates):
K (0.000, 0.000, 0.000)
Ca (0.000, 0.500, 0.500)
Ca (0.500, 0.000, 0.500)
Fe (0.500, 0.500, 0.000)
O (0.000, 0.000, 0.500)

[7]
A crystal of KCa2TiFe relaxed with PBEsol, computed with meta-GGA SCAN.

Computed properties:
density	1.93	g cm⁻³
E_form	1.412	eV/atom
N(E_F)	1.31	states/eV per atom
E_tot	-54.755	eV/f.u.

Cell: 5.756 5.756 5.804 Å, 90.00 90.00 90.00°
Atoms (fractional coordinates):
K (0.000, 0.000, 0.000)
Ca (0.000, 0.500, 0.500)
Ca (0.500, 0.000, 0.500)
Ti (0.000, 0.000, 0.500)
Fe (0.500, 0.500, 0.000)

[8]
A crystal of CaLaFe3 relaxed with PBEsol, computed with meta-GGA SCAN.

Computed properties:
density	5.39	g cm⁻³
E_form	1.376	eV/atom
N(E_F)	0.90	states/eV per atom
E_tot	-100.278	eV/f.u.

Cell: 4.744 4.744 4.744 Å, 90.00 90.00 90.00°
Atoms (fractional coordinates):
Ca (0.000, 0.000, 0.000)
La (0.500, 0.500, 0.500)
Fe (0.000, 0.000, 0.500)
Fe (0.000, 0.500, 0.000)
Fe (0.500, 0.000, 0.000)

[9]
A crystal of CaLaFe relaxed with PBEsol, computed with meta-GGA SCAN.

Computed properties:
density	5.03	g cm⁻³
E_form	0.339	eV/atom
N(E_F)	1.17	states/eV per atom
E_tot	-69.881	eV/f.u.

Cell: 6.940 6.940 6.940 Å, 151.17 151.17 41.23°
Atoms (fractional coordinates):
Ca (0.000, 0.000, 0.000)
La (0.254, 0.254, 0.000)
Fe (0.641, 0.641, 0.000)

[10]
A crystal of CaLa2Fe relaxed with PBEsol, computed with meta-GGA SCAN.

Computed properties:
density	5.30	g cm⁻³
E_form	0.160	eV/atom
N(E_F)	1.04	states/eV per atom
E_tot	-113.362	eV/f.u.

Cell: 3.493 3.493 9.598 Å, 90.00 90.00 90.00°
Atoms (fractional coordinates):
Ca (0.000, 0.000, 0.000)
La (0.500, 0.500, 0.330)
La (0.500, 0.500, 0.670)
Fe (0.000, 0.000, 0.500)

[11]
A crystal of CaLaFe2 relaxed with PBEsol, computed with meta-GGA SCAN.

Computed properties:
density	6.32	g cm⁻³
E_form	0.603	eV/atom
N(E_F)	1.28	states/eV per atom
E_tot	-86.615	eV/f.u.

Cell: 4.763 4.763 4.763 Å, 60.00 60.00 60.00°
Atoms (fractional coordinates):
Ca (0.000, 0.000, 0.000)
La (0.750, 0.750, 0.750)
Fe (0.250, 0.250, 0.250)
Fe (0.500, 0.500, 0.500)

[12]
A crystal of CaLaFe2 relaxed with PBEsol, computed with meta-GGA SCAN.

Computed properties:
density	5.70	g cm⁻³
E_form	0.320	eV/atom
N(E_F)	0.69	states/eV per atom
E_tot	-87.749	eV/f.u.

Cell: 6.099 6.099 6.099 Å, 147.22 136.05 55.90°
Atoms (fractional coordinates):
Ca (0.000, 0.000, 0.000)
La (0.721, 0.221, 0.500)
Fe (0.280, 0.780, 0.500)
Fe (0.415, 0.415, 0.000)